(1)
The following is a PBE calculation of a relaxed structure of SrMgAl, from Alexandria via LeMat-Bulk.

Unit cell a=5.064 b=7.950 c=8.555 alpha=90.00 beta=90.00 gamma=90.00
Sites, in units of the cell vectors:
Sr (0.000, 0.000, 0.000)
Sr (0.000, 0.500, 0.085)
Sr (0.500, 0.000, 0.585)
Sr (0.500, 0.500, 0.500)
Mg (0.000, 0.296, 0.703)
Mg (0.000, 0.704, 0.703)
Mg (0.500, 0.204, 0.203)
Mg (0.500, 0.796, 0.203)
Al (0.000, 0.180, 0.373)
Al (0.000, 0.820, 0.373)
Al (0.500, 0.320, 0.873)
Al (0.500, 0.680, 0.873)

Summary:
N(E_F) (states/eV/atom): 0.50
ΔH_f (0 K) (eV per atom): -0.14

(2)
The following is a PBE calculation of a relaxed structure of Sr2Mg2Al15, from Alexandria via LeMat-Bulk.

Unit cell a=7.277 b=7.277 c=7.277 alpha=82.52 beta=82.52 gamma=82.52
Sites, in units of the cell vectors:
Sr (0.152, 0.152, 0.152)
Sr (0.848, 0.848, 0.848)
Mg (0.398, 0.398, 0.398)
Mg (0.602, 0.602, 0.602)
Al (0.000, 0.500, 0.500)
Al (0.150, 0.150, 0.655)
Al (0.150, 0.655, 0.150)
Al (0.210, 0.500, 0.790)
Al (0.210, 0.790, 0.500)
Al (0.345, 0.850, 0.850)
Al (0.500, 0.000, 0.500)
Al (0.500, 0.210, 0.790)
Al (0.500, 0.500, 0.000)
Al (0.500, 0.790, 0.210)
Al (0.655, 0.150, 0.150)
Al (0.790, 0.210, 0.500)
Al (0.790, 0.500, 0.210)
Al (0.850, 0.345, 0.850)
Al (0.850, 0.850, 0.345)

Summary:
N(E_F) (states/eV/atom): 0.35
ΔH_f (0 K) (eV per atom): -0.10

(3)
The following is a PBE calculation of a relaxed structure of Sr2MgAl, from Alexandria via LeMat-Bulk.

Unit cell a=10.690 b=3.877 c=7.215 alpha=90.00 beta=100.89 gamma=90.00
Sites, in units of the cell vectors:
Sr (0.243, 0.000, 0.234)
Sr (0.257, 0.500, 0.766)
Sr (0.743, 0.500, 0.234)
Sr (0.757, 0.000, 0.766)
Mg (0.000, 0.000, 0.500)
Mg (0.500, 0.500, 0.500)
Al (0.000, 0.500, 0.000)
Al (0.500, 0.000, 0.000)

Summary:
N(E_F) (states/eV/atom): 0.83
ΔH_f (0 K) (eV per atom): 0.15

(4)
The following is a PBE calculation of a relaxed structure of Sr3MgAl, from Alexandria via LeMat-Bulk.

Unit cell a=11.542 b=11.542 c=5.773 alpha=90.00 beta=90.00 gamma=151.00
Sites, in units of the cell vectors:
Sr (0.073, 0.927, 0.750)
Sr (0.250, 0.750, 0.750)
Sr (0.427, 0.573, 0.750)
Sr (0.573, 0.427, 0.250)
Sr (0.750, 0.250, 0.250)
Sr (0.927, 0.073, 0.250)
Mg (0.162, 0.838, 0.250)
Mg (0.838, 0.162, 0.750)
Al (0.340, 0.660, 0.250)
Al (0.660, 0.340, 0.750)

Summary:
N(E_F) (states/eV/atom): 0.77
ΔH_f (0 K) (eV per atom): -0.07